(1)
# Sr3InS4, optimized geometry, DFT PBE
data_Sr3InS4
_cell_length_a 10.0788
_cell_length_b 8.7504
_cell_length_c 5.9145
_cell_angle_alpha 90.00
_cell_angle_beta 90.00
_cell_angle_gamma 90.00
_symmetry_space_group_name_H-M 'P m n 21'
_symmetry_Int_Tables_number 31
loop_
_symmetry_equiv_pos_as_xyz
'x,y,z'
'-x+1/2,-y,z+1/2'
'-x,y,z'
'x+1/2,-y,z+1/2'
loop_
_atom_site_label
_atom_site_type_symbol
_atom_site_fract_x
_atom_site_fract_y
_atom_site_fract_z
Sr1 Sr 0.0000 0.1563 0.9999
Sr2 Sr 0.2492 0.3317 0.5000
In1 In 0.0000 0.8284 0.4931
S1 S 0.0000 0.1529 0.5004
S2 S 0.0000 0.8268 0.0114
S3 S 0.2470 0.6704 0.5005
# ρ = 3.221 g/cm3
# DOS at the Fermi energy = 3.11 states/eV/f.u.
# E = -4.617 eV per atom
# Raw formation energy = -1.580 eV/atom

***

(2)
# SrInS2, optimized geometry, DFT PBE
data_SrInS2
_cell_length_a 4.4750
_cell_length_b 4.4750
_cell_length_c 23.7737
_cell_angle_alpha 90.00
_cell_angle_beta 90.00
_cell_angle_gamma 120.00
_symmetry_space_group_name_H-M 'R -3 m'
_symmetry_Int_Tables_number 166
_symmetry_space_group_name_Hall '-R 3 2"'
loop_
_atom_site_label
_atom_site_type_symbol
_atom_site_fract_x
_atom_site_fract_y
_atom_site_fract_z
Sr1 Sr 0.0000 0.0000 0.0000
In1 In 0.0000 0.0000 0.5000
S1 S 0.0000 0.0000 0.3968
# ρ = 3.221 g/cm3
# DOS at the Fermi energy = 3.00 states/eV/f.u.
# E = -4.094 eV per atom
# Raw formation energy = -0.925 eV/atom

***

(3)
# Sr2TaInS, optimized geometry, DFT PBE
data_Sr2TaInS
_cell_length_a 5.6988
_cell_length_b 5.6988
_cell_length_c 4.6557
_cell_angle_alpha 90.00
_cell_angle_beta 90.00
_cell_angle_gamma 90.00
_symmetry_space_group_name_H-M 'P 4/m m m'
_symmetry_Int_Tables_number 123
_symmetry_space_group_name_Hall '-P 4 2'
loop_
_atom_site_label
_atom_site_type_symbol
_atom_site_fract_x
_atom_site_fract_y
_atom_site_fract_z
Sr1 Sr 0.0000 0.5000 0.0000
Ta1 Ta 0.0000 0.0000 0.5000
In1 In 0.5000 0.5000 0.5000
S1 S 0.0000 0.0000 0.0000
# ρ = 5.525 g/cm3
# DOS at the Fermi energy = 2.52 states/eV/f.u.
# E = -4.687 eV per atom
# Raw formation energy = -0.270 eV/atom

***

(4)
# SrIn2TeS6, optimized geometry, DFT PBE
data_SrIn2TeS6
_cell_length_a 14.1431
_cell_length_b 10.4354
_cell_length_c 8.0728
_cell_angle_alpha 90.00
_cell_angle_beta 113.07
_cell_angle_gamma 90.00
_symmetry_space_group_name_H-M 'C 1 2/c 1'
_symmetry_Int_Tables_number 15
loop_
_symmetry_equiv_pos_as_xyz
'x,y,z'
'-x,-y,-z'
'-x,y,-z+1/2'
'x,-y,z+1/2'
'x+1/2,y+1/2,z'
'-x+1/2,-y+1/2,-z'
'-x+1/2,y+1/2,-z+1/2'
'x+1/2,-y+1/2,z+1/2'
loop_
_atom_site_label
_atom_site_type_symbol
_atom_site_fract_x
_atom_site_fract_y
_atom_site_fract_z
Sr1 Sr 0.0000 0.1822 0.2500
In1 In 0.2121 0.4233 0.1756
Te1 Te 0.0000 0.2416 0.7500
S1 S 0.0928 0.0852 0.6468
S2 S 0.1439 0.4250 0.4214
S3 S 0.1453 0.2046 0.0712
# ρ = 3.861 g/cm3
# DOS at the Fermi energy = 0.00 states/eV/f.u.
# E = -4.131 eV per atom
# Raw formation energy = -0.625 eV/atom

***

(5)
# Sr2InTeS5, optimized geometry, DFT PBE
data_Sr2InTeS5
_cell_length_a 4.2881
_cell_length_b 17.5046
_cell_length_c 12.4059
_cell_angle_alpha 90.00
_cell_angle_beta 90.00
_cell_angle_gamma 90.00
_symmetry_space_group_name_H-M 'C m c 21'
_symmetry_Int_Tables_number 36
loop_
_symmetry_equiv_pos_as_xyz
'x,y,z'
'-x,-y,z+1/2'
'-x,y,z'
'x,-y,z+1/2'
'x+1/2,y+1/2,z'
'-x+1/2,-y+1/2,z+1/2'
'-x+1/2,y+1/2,z'
'x+1/2,-y+1/2,z+1/2'
loop_
_atom_site_label
_atom_site_type_symbol
_atom_site_fract_x
_atom_site_fract_y
_atom_site_fract_z
Sr1 Sr 0.0000 0.1050 0.0000
Sr2 Sr 0.0000 0.1348 0.6262
In1 In 0.0000 0.4380 0.7507
Te1 Te 0.0000 0.2205 0.3474
S1 S 0.0000 0.0472 0.3615
S2 S 0.0000 0.2799 0.9584
S3 S 0.0000 0.3146 0.6490
S4 S 0.0000 0.3590 0.3148
S5 S 0.0000 0.4842 0.0851
# ρ = 4.123 g/cm3
# DOS at the Fermi energy = 1.35 states/eV/f.u.
# E = -4.363 eV per atom
# Raw formation energy = -1.043 eV/atom

***

(6)
# Sr2TlInS5, optimized geometry, DFT PBE
data_Sr2TlInS5
_cell_length_a 4.0329
_cell_length_b 18.3462
_cell_length_c 12.3487
_cell_angle_alpha 90.00
_cell_angle_beta 90.00
_cell_angle_gamma 90.00
_symmetry_space_group_name_H-M 'C m c 21'
_symmetry_Int_Tables_number 36
loop_
_symmetry_equiv_pos_as_xyz
'x,y,z'
'-x,-y,z+1/2'
'-x,y,z'
'x,-y,z+1/2'
'x+1/2,y+1/2,z'
'-x+1/2,-y+1/2,z+1/2'
'-x+1/2,y+1/2,z'
'x+1/2,-y+1/2,z+1/2'
loop_
_atom_site_label
_atom_site_type_symbol
_atom_site_fract_x
_atom_site_fract_y
_atom_site_fract_z
Sr1 Sr 0.0000 0.1078 0.0000
Sr2 Sr 0.0000 0.1232 0.6289
Tl1 Tl 0.0000 0.2289 0.3519
In1 In 0.0000 0.4408 0.7778
S1 S 0.0000 0.0467 0.3931
S2 S 0.0000 0.2778 0.0013
S3 S 0.0000 0.3103 0.7064
S4 S 0.0000 0.3677 0.3196
S5 S 0.0000 0.4988 0.6005
# ρ = 4.760 g/cm3
# E = -4.354 eV per atom
# Raw formation energy = -1.121 eV/atom

***

(7)
# SrTlIn2S, optimized geometry, DFT PBE
data_SrTlIn2S
_cell_length_a 5.3769
_cell_length_b 5.3769
_cell_length_c 5.9267
_cell_angle_alpha 90.00
_cell_angle_beta 90.00
_cell_angle_gamma 90.00
_symmetry_space_group_name_H-M 'P 4/m m m'
_symmetry_Int_Tables_number 123
_symmetry_space_group_name_Hall '-P 4 2'
loop_
_atom_site_label
_atom_site_type_symbol
_atom_site_fract_x
_atom_site_fract_y
_atom_site_fract_z
Sr1 Sr 0.0000 0.0000 0.0000
Tl1 Tl 0.5000 0.5000 0.0000
In1 In 0.0000 0.5000 0.5000
S1 S 0.5000 0.5000 0.5000
# ρ = 5.366 g/cm3
# DOS at the Fermi energy = 3.23 states/eV/f.u.
# E = -2.801 eV per atom
# Raw formation energy = -0.071 eV/atom

***

(8)
# Sr2TmInS5, optimized geometry, DFT PBE
data_Sr2TmInS5
_cell_length_a 4.0314
_cell_length_b 17.3711
_cell_length_c 12.6794
_cell_angle_alpha 90.00
_cell_angle_beta 90.00
_cell_angle_gamma 90.00
_symmetry_space_group_name_H-M 'C m c 21'
_symmetry_Int_Tables_number 36
loop_
_symmetry_equiv_pos_as_xyz
'x,y,z'
'-x,-y,z+1/2'
'-x,y,z'
'x,-y,z+1/2'
'x+1/2,y+1/2,z'
'-x+1/2,-y+1/2,z+1/2'
'-x+1/2,y+1/2,z'
'x+1/2,-y+1/2,z+1/2'
loop_
_atom_site_label
_atom_site_type_symbol
_atom_site_fract_x
_atom_site_fract_y
_atom_site_fract_z
Sr1 Sr 0.0000 0.1121 0.0000
Sr2 Sr 0.0000 0.1364 0.6309
Tm1 Tm 0.0000 0.2146 0.3400
In1 In 0.0000 0.4577 0.7662
S1 S 0.0000 0.0532 0.3801
S2 S 0.0000 0.2848 0.9820
S3 S 0.0000 0.3132 0.6959
S4 S 0.0000 0.3649 0.3201
S5 S 0.0000 0.4932 0.0883
# ρ = 4.633 g/cm3
# DOS at the Fermi energy = 0.00 states/eV/f.u.
# E = -5.168 eV per atom
# Raw formation energy = -1.700 eV/atom

***

(9)
# Sr2YInS5, optimized geometry, DFT PBE
data_Sr2YInS5
_cell_length_a 4.0570
_cell_length_b 17.3827
_cell_length_c 12.6998
_cell_angle_alpha 90.00
_cell_angle_beta 90.00
_cell_angle_gamma 90.00
_symmetry_space_group_name_H-M 'C m c 21'
_symmetry_Int_Tables_number 36
loop_
_symmetry_equiv_pos_as_xyz
'x,y,z'
'-x,-y,z+1/2'
'-x,y,z'
'x,-y,z+1/2'
'x+1/2,y+1/2,z'
'-x+1/2,-y+1/2,z+1/2'
'-x+1/2,y+1/2,z'
'x+1/2,-y+1/2,z+1/2'
loop_
_atom_site_label
_atom_site_type_symbol
_atom_site_fract_x
_atom_site_fract_y
_atom_site_fract_z
Sr1 Sr 0.0000 0.1119 0.0000
Sr2 Sr 0.0000 0.1364 0.6276
Y1 Y 0.0000 0.2144 0.3361
In1 In 0.0000 0.4615 0.7655
S1 S 0.0000 0.0519 0.3780
S2 S 0.0000 0.2848 0.9810
S3 S 0.0000 0.3151 0.6910
S4 S 0.0000 0.3672 0.3178
S5 S 0.0000 0.4927 0.0860
# ρ = 4.000 g/cm3
# DOS at the Fermi energy = 0.00 states/eV/f.u.
# E = -5.389 eV per atom
# Raw formation energy = -1.699 eV/atom

***

(10)
# Sr2ZnInS5, optimized geometry, DFT PBE
data_Sr2ZnInS5
_cell_length_a 3.9708
_cell_length_b 17.9918
_cell_length_c 11.8452
_cell_angle_alpha 90.00
_cell_angle_beta 90.00
_cell_angle_gamma 90.00
_symmetry_space_group_name_H-M 'C m c 21'
_symmetry_Int_Tables_number 36
loop_
_symmetry_equiv_pos_as_xyz
'x,y,z'
'-x,-y,z+1/2'
'-x,y,z'
'x,-y,z+1/2'
'x+1/2,y+1/2,z'
'-x+1/2,-y+1/2,z+1/2'
'-x+1/2,y+1/2,z'
'x+1/2,-y+1/2,z+1/2'
loop_
_atom_site_label
_atom_site_type_symbol
_atom_site_fract_x
_atom_site_fract_y
_atom_site_fract_z
Sr1 Sr 0.0000 0.1109 0.0000
Sr2 Sr 0.0000 0.1224 0.6254
Zn1 Zn 0.0000 0.4383 0.7541
In1 In 0.0000 0.2195 0.3389
S1 S 0.0000 0.0649 0.3575
S2 S 0.0000 0.2820 0.9908
S3 S 0.0000 0.3062 0.6888
S4 S 0.0000 0.3596 0.3174
S5 S 0.0000 0.4997 0.0859
# ρ = 4.048 g/cm3
# DOS at the Fermi energy = 6.43 states/eV/f.u.
# E = -4.280 eV per atom
# Raw formation energy = -1.167 eV/atom

***

(11)
# TaInS, optimized geometry, DFT PBE
data_TaInS
_cell_length_a 8.7580
_cell_length_b 3.1240
_cell_length_c 9.0976
_cell_angle_alpha 90.00
_cell_angle_beta 91.05
_cell_angle_gamma 90.00
_symmetry_space_group_name_H-M 'C 1 m 1'
_symmetry_Int_Tables_number 8
loop_
_symmetry_equiv_pos_as_xyz
'x,y,z'
'x,-y,z'
'x+1/2,y+1/2,z'
'x+1/2,-y+1/2,z'
loop_
_atom_site_label
_atom_site_type_symbol
_atom_site_fract_x
_atom_site_fract_y
_atom_site_fract_z
Ta1 Ta 0.0000 0.0000 0.0000
Ta2 Ta 0.2137 0.5000 0.2179
In1 In 0.0258 0.5000 0.7159
In2 In 0.2579 0.0000 0.5097
S1 S 0.0031 0.0000 0.2687
S2 S 0.2802 0.0000 0.0028
# ρ = 8.750 g/cm3
# DOS at the Fermi energy = 1.58 states/eV/f.u.
# E = -6.662 eV per atom
# Offset from the most stable computed form = 0.057 eV per atom
# Raw formation energy = -0.422 eV/atom

***

> Look up the E of the tenth one.

-4.280 eV per atom

***

Please write out number 2 again, unchanged.
# SrInS2, optimized geometry, DFT PBE
data_SrInS2
_cell_length_a 4.4750
_cell_length_b 4.4750
_cell_length_c 23.7737
_cell_angle_alpha 90.00
_cell_angle_beta 90.00
_cell_angle_gamma 120.00
_symmetry_space_group_name_H-M 'R -3 m'
_symmetry_Int_Tables_number 166
_symmetry_space_group_name_Hall '-R 3 2"'
loop_
_atom_site_label
_atom_site_type_symbol
_atom_site_fract_x
_atom_site_fract_y
_atom_site_fract_z
Sr1 Sr 0.0000 0.0000 0.0000
In1 In 0.0000 0.0000 0.5000
S1 S 0.0000 0.0000 0.3968
# ρ = 3.221 g/cm3
# DOS at the Fermi energy = 3.00 states/eV/f.u.
# E = -4.094 eV per atom
# Raw formation energy = -0.925 eV/atom